Record 1
Here is an optimized crystal structure of Ho3AlGa2Ge2Pt from OQMD via LeMat-Bulk. Energies are from PBE.

Cell and atoms, written as extended XYZ:
```
9
Lattice="4.2251 0.0000 0.0000 0.0000 6.1206 3.4444 0.0000 -6.1206 3.4444" Properties=species:S:1:pos:R:3 pbc="T T T"
Al 2.1125 0.0000 5.2879
Ga 2.1125 4.6642 4.2458
Ga 2.1125 -4.6642 4.2458
Ge 2.1125 1.9959 3.4673
Ge 2.1125 -1.9959 3.4673
Ho 0.0000 3.5728 2.0459
Ho 0.0000 0.0000 2.8317
Ho 0.0000 -3.5728 2.0459
Pt 0.0000 0.0000 6.8059
```

## Properties
Symmetry ... Amm2
E ... -46.54 eV/cell

***

Record 2
Here is an optimized crystal structure of ZrGaCuHg from OQMD via LeMat-Bulk. Energies are from PBE.

Cell and atoms, written as extended XYZ:
```
4
Lattice="-0.0033 -3.8179 -2.7339 -3.9730 -2.4161 -0.6538 -2.1505 0.1024 -4.1731" Properties=species:S:1:pos:R:3 pbc="T T T"
Cu -4.5951 -4.5987 -5.6706
Ga 0.0000 0.0000 0.0000
Hg -1.5317 -1.5329 -1.8902
Zr -3.0634 -3.0658 -3.7804
```

## Properties
Symmetry ... F-43m
E above lowest polymorph ... 72.4 meV/atom

***

Record 3
Here is an optimized crystal structure of Rb2AlZnBr6 from OQMD via LeMat-Bulk. Energies are from PBE.

Cell and atoms, written as extended XYZ:
```
10
Lattice="0.0000 5.3580 5.3580 5.3580 0.0000 5.3580 5.3580 5.3580 0.0000" Properties=species:S:1:pos:R:3 pbc="T T T"
Al 0.0000 0.0000 0.0000
Br 2.5854 5.3580 5.3580
Br 5.3580 2.5854 5.3580
Br 5.3580 5.3580 8.1306
Br 5.3580 5.3580 2.5854
Br 5.3580 8.1306 5.3580
Br 8.1306 5.3580 5.3580
Rb 2.6790 2.6790 2.6790
Rb 8.0369 8.0369 8.0369
Zn 5.3580 5.3580 5.3580
```

## Properties
Symmetry ... Fm-3m
E ... -28.72 eV/cell

***

Record 4
Here is an optimized crystal structure of Er3Al3CuIr2 from OQMD via LeMat-Bulk. Energies are from PBE.

Cell and atoms, written as extended XYZ:
```
9
Lattice="-3.0567 -6.1541 -0.9155 6.8131 0.3366 1.2343 -0.7070 -0.2391 3.9680" Properties=species:S:1:pos:R:3 pbc="T T T"
Al -2.6713 -4.7859 1.2898
Al 0.5546 -1.5259 2.0610
Al 4.8125 0.1357 2.9199
Cu 0.0000 0.0000 0.0000
Er -1.2662 -2.5492 -0.3792
Er 2.8221 0.1394 0.5113
Er 2.2004 -3.4077 0.1867
Ir -0.1203 -4.1101 1.7851
Ir 3.1696 -1.9465 2.5017
```

## Properties
Symmetry ... P-62m
E ... -53.26 eV/cell

***

Record 5
Here is an optimized crystal structure of Te2AuCl from OQMD via LeMat-Bulk. Energies are from PBE.

Cell and atoms, written as extended XYZ:
```
4
Lattice="6.4755 -2.0322 0.0000 6.4755 2.0322 0.0000 -1.2703 0.0000 4.5478" Properties=species:S:1:pos:R:3 pbc="T T T"
Au 5.2121 0.0000 0.1434
Cl 7.1941 0.0000 4.2117
Te 12.3557 0.0000 1.8100
Te 9.7062 0.0000 3.0295
```

## Properties
Symmetry ... Cm
E ... -12.44 eV/cell

***

Record 6
Here is an optimized crystal structure of Nd5InTe4 from OQMD via LeMat-Bulk. Energies are from PBE.

Cell and atoms, written as extended XYZ:
```
10
Lattice="-5.0438 5.0438 3.1819 5.0438 -5.0438 3.1819 5.0438 5.0438 -3.1819" Properties=species:S:1:pos:R:3 pbc="T T T"
In 0.0000 0.0000 0.0097
Nd 0.0000 0.0000 3.1918
Nd 4.0572 -2.0605 3.1876
Nd 2.9833 0.9865 0.0057
Nd 2.0605 4.0572 3.1876
Nd 0.9865 7.1042 0.0057
Te -0.9915 3.0320 3.1877
Te 3.0320 0.9915 3.1877
Te 2.0118 4.0523 0.0058
Te 6.0353 2.0118 0.0058
```

## Properties
Symmetry ... I4/m
E ... -51.72 eV/cell

***

Record 7
Here is an optimized crystal structure of MgTaZnCu from OQMD via LeMat-Bulk. Energies are from PBE.

Cell and atoms, written as extended XYZ:
```
4
Lattice="2.0066 -3.4634 -1.9605 2.5425 -2.7576 2.4076 -1.3911 -4.1500 0.8412" Properties=species:S:1:pos:R:3 pbc="T T T"
Cu 2.3685 -7.7783 0.9663
Mg 1.5790 -5.1855 0.6442
Ta 0.7895 -2.5928 0.3221
Zn 0.0000 0.0000 0.0000
```

## Properties
Symmetry ... F-43m
E above lowest polymorph ... 23.1 meV/atom

***

Record 8
Here is an optimized crystal structure of K7Fe5S10 from OQMD via LeMat-Bulk. Energies are from PBE.

Cell and atoms, written as extended XYZ:
```
44
Lattice="13.7467 -5.7425 0.0000 13.7467 5.7425 0.0000 -1.6270 0.0000 7.0471" Properties=species:S:1:pos:R:3 pbc="T T T"
Fe 19.2063 2.5947 0.0650
Fe 10.8732 -2.6854 0.4354
Fe 13.3400 -3.0289 1.7618
Fe 15.8067 -2.6854 3.0882
Fe 7.4736 2.5947 3.4585
Fe 18.3928 -2.5947 3.5886
Fe 10.0597 2.6854 3.9589
Fe 12.5264 3.0289 5.2853
Fe 14.9932 2.6854 6.6117
Fe 6.6601 -2.5947 6.9821
K 3.9997 0.3112 0.0975
K 19.6829 -1.2494 0.2931
K 11.5867 1.1174 0.4555
K 13.3400 4.5312 1.7618
K 15.0932 1.1174 3.0681
K 6.9970 -1.2494 3.2305
K 22.6802 0.3112 3.4261
K 3.1862 -0.3112 3.6210
K 18.8694 1.2494 3.8166
K 10.7731 -1.1174 3.9791
K 12.5264 -4.5312 5.2853
K 14.2797 -1.1174 6.5916
K 6.1835 1.2494 6.7540
K 21.8667 -0.3112 6.9496
S 14.6212 1.8624 0.0876
S 20.8999 1.6082 1.1854
S 9.4171 -1.1355 1.2182
S 15.2262 -4.2429 1.4997
S 17.6024 3.2568 1.5064
S 9.0775 3.2568 2.0172
S 11.4537 -4.2429 2.0238
S 17.2628 -1.1355 2.3053
S 5.7800 1.6082 2.3381
S 12.0587 1.8624 3.4360
S 13.8076 -1.8624 3.6111
S 20.0864 -1.6082 4.7090
S 8.6036 1.1355 4.7418
S 14.4126 4.2429 5.0233
S 16.7888 -3.2568 5.0299
S 8.2640 -3.2568 5.5407
S 10.6402 4.2429 5.5474
S 16.4493 1.1355 5.8289
S 4.9664 -1.6082 5.8617
S 11.2452 -1.8624 6.9596
```

## Properties
Symmetry ... C2/c
E ... -217.39 eV/cell